Entry 1:
Zr4Nb2Al3N3 PBE optimized geometry; total DFT energy (no corrections) = -0.626 Ry per atom; M_tot = 0.004 μB per formula unit
1.0
0.449 5.483 -0.621
-4.549 3.097 -0.600
0.642 -1.219 14.448
Al Zr Nb N
6 8 4 6
Cartesian
-2.505 4.497 10.046 Al
-2.175 5.417 2.819 Al
-3.803 3.072 3.010 Al
-1.284 1.943 10.408 Al
-0.954 2.864 3.182 Al
0.344 4.289 10.218 Al
-0.826 0.669 1.211 Zr
-3.788 6.903 4.796 Zr
0.102 0.972 12.831 Zr
-3.561 6.389 0.396 Zr
-1.054 1.183 5.611 Zr
-2.633 6.692 12.017 Zr
0.329 0.457 8.431 Zr
-2.405 6.178 7.617 Zr
-2.426 4.057 5.331 Nb
-1.033 3.303 7.896 Nb
-2.187 3.515 0.676 Nb
-1.272 3.846 12.551 Nb
-0.439 4.169 -0.512 N
0.545 2.132 6.914 N
-3.661 4.411 -0.708 N
-2.275 1.549 -0.300 N
-0.811 5.009 6.505 N
-2.648 2.352 6.722 N



Entry 2:
CsNaPtC2 PBE optimized geometry; total DFT energy (no corrections) = -0.390 Ry per atom; M_tot = 0.000 μB per formula unit
1.0
-1.767 -4.039 3.035
5.121 0.141 -1.552
1.230 2.694 4.302
Cs C Na Pt
1 2 1 1
Cartesian
0.377 0.827 1.320 Cs
3.238 -0.347 1.424 C
3.539 0.312 2.475 C
1.537 -0.438 5.032 Na
4.002 1.325 4.093 Pt